# 1
A plane-wave DFT calculation with PBE was carried out for a relaxed Cs2HfTlI6 crystal.

Unit cell a=17.357 b=17.357 c=17.357 alpha=28.27 beta=28.27 gamma=28.27
Sites, in units of the cell vectors:
Cs1 0.137 0.137 0.137
Cs2 0.306 0.306 0.306
Cs3 0.694 0.694 0.694
Cs4 0.863 0.863 0.863
Hf1 0.000 0.000 0.000
Hf2 0.500 0.500 0.500
Tl1 0.417 0.417 0.417
Tl2 0.583 0.583 0.583
I1 0.142 0.628 0.628
I2 0.194 0.194 0.714
I3 0.194 0.714 0.194
I4 0.286 0.806 0.806
I5 0.372 0.372 0.858
I6 0.372 0.858 0.372
I7 0.628 0.142 0.628
I8 0.628 0.628 0.142
I9 0.714 0.194 0.194
I10 0.806 0.286 0.806
I11 0.806 0.806 0.286
I12 0.858 0.372 0.372

Output
The value obtained for the uncorrected formation energy is -1037 meV/atom. Its magnetization is 2.02 Bohr magnetons per cell. The density of states at the Fermi level comes out at 0.637 states/eV per atom.

***

# 2
A plane-wave DFT calculation with PBE was carried out for a relaxed SrThP2Rh5 crystal.

Unit cell a=4.127 b=4.127 c=10.664 alpha=90.00 beta=90.00 gamma=90.00
Sites, in units of the cell vectors:
Sr1 0.000 0.000 0.000
Th1 0.000 0.000 0.500
P1 0.500 0.500 0.212
P2 0.500 0.500 0.788
Rh1 0.000 0.500 0.306
Rh2 0.000 0.500 0.694
Rh3 0.500 0.000 0.306
Rh4 0.500 0.000 0.694
Rh5 0.500 0.500 0.000

Output
For the formation energy, the calculation gives -775 meV per atom. Its magnetization is 0.00 Bohr magnetons per cell. The density of states at the Fermi level comes out at 0.483 states/eV per atom.

***

# 3
A plane-wave DFT calculation with PBE was carried out for a relaxed La2Dy3TmTe6 crystal.

Unit cell a=9.882 b=9.882 c=8.907 alpha=102.81 beta=102.81 gamma=25.67
Sites, in units of the cell vectors:
La1 0.168 0.168 0.336
La2 0.832 0.832 0.664
Dy1 0.173 0.173 0.835
Dy2 0.500 0.500 0.500
Dy3 0.827 0.827 0.165
Tm1 0.500 0.500 0.000
Te1 0.006 0.006 0.757
Te2 0.338 0.338 0.407
Te3 0.338 0.338 0.930
Te4 0.662 0.662 0.070
Te5 0.662 0.662 0.593
Te6 0.994 0.994 0.243

Output
The value obtained for the uncorrected formation energy is -1365 meV/atom. Its magnetization is 0.00 Bohr magnetons per cell. The density of states at the Fermi level comes out at 0.607 states/eV per atom.

***

# 4
A plane-wave DFT calculation with PBE was carried out for a relaxed KPaRe2O8 crystal.

Unit cell a=5.991 b=5.991 c=7.662 alpha=90.00 beta=90.00 gamma=120.00
Sites, in units of the cell vectors:
K1 0.000 0.000 0.000
Pa1 0.000 0.000 0.500
Re1 0.333 0.667 0.773
Re2 0.667 0.333 0.227
O1 0.165 0.335 0.677
O2 0.170 0.835 0.677
O3 0.333 0.667 0.003
O4 0.335 0.170 0.323
O5 0.665 0.830 0.677
O6 0.667 0.333 0.997
O7 0.830 0.165 0.323
O8 0.835 0.665 0.323

Output
The value obtained for the uncorrected formation energy is -1968 meV/atom. Its magnetization is 3.94 Bohr magnetons per cell. The density of states at the Fermi level comes out at 0.177 states/eV per atom.

***

# 5
A plane-wave DFT calculation with PBE was carried out for a relaxed CuNi2I6 crystal.

Unit cell a=10.188 b=10.188 c=7.744 alpha=110.46 beta=110.46 gamma=81.75
Sites, in units of the cell vectors:
Cu1 0.186 0.814 0.750
Cu2 0.814 0.186 0.250
Ni1 0.207 0.382 0.375
Ni2 0.382 0.207 0.875
Ni3 0.618 0.793 0.125
Ni4 0.793 0.618 0.625
I1 0.054 0.177 0.192
I2 0.177 0.054 0.692
I3 0.187 0.638 0.417
I4 0.314 0.397 0.721
I5 0.362 0.813 0.083
I6 0.397 0.314 0.221
I7 0.603 0.686 0.779
I8 0.638 0.187 0.917
I9 0.686 0.603 0.279
I10 0.813 0.362 0.583
I11 0.823 0.946 0.308
I12 0.946 0.823 0.808

Output
The value obtained for the uncorrected formation energy is -34 meV/atom. Its magnetization is 0.00 Bohr magnetons per cell. The density of states at the Fermi level comes out at 0.963 states/eV per atom.

***

# 6
A plane-wave DFT calculation with PBE was carried out for a relaxed Dy3Y2Cd2 crystal.

Unit cell a=11.662 b=11.662 c=3.468 alpha=90.00 beta=90.00 gamma=154.84
Sites, in units of the cell vectors:
Dy1 0.000 0.000 0.000
Dy2 0.146 0.854 0.000
Dy3 0.854 0.146 0.000
Y1 0.290 0.710 0.500
Y2 0.710 0.290 0.500
Cd1 0.432 0.568 0.500
Cd2 0.568 0.432 0.500

Output
For the formation energy, the calculation gives -40 meV per atom. Its magnetization is 0.00 Bohr magnetons per cell. The density of states at the Fermi level comes out at 1.029 states/eV per atom.

***

# 7
A plane-wave DFT calculation with PBE was carried out for a relaxed BaScV3 crystal.

Unit cell a=5.075 b=5.075 c=5.075 alpha=90.00 beta=90.00 gamma=90.00
Sites, in units of the cell vectors:
Ba1 0.000 0.000 0.000
Sc1 0.500 0.500 0.500
V1 0.000 0.500 0.500
V2 0.500 0.000 0.500
V3 0.500 0.500 0.000

Output
For the formation energy, the calculation gives 1392 meV per atom. Its magnetization is 8.42 Bohr magnetons per cell. The density of states at the Fermi level comes out at 2.086 states/eV per atom.

***

# 8
A plane-wave DFT calculation with PBE was carried out for a relaxed Pr2HoEr3Se6 crystal.

Unit cell a=9.245 b=9.245 c=8.335 alpha=104.19 beta=104.19 gamma=25.45
Sites, in units of the cell vectors:
Pr1 0.169 0.169 0.337
Pr2 0.831 0.831 0.663
Ho1 0.500 0.500 0.000
Er1 0.171 0.171 0.834
Er2 0.500 0.500 0.500
Er3 0.829 0.829 0.166
Se1 0.005 0.005 0.752
Se2 0.335 0.335 0.931
Se3 0.339 0.339 0.405
Se4 0.661 0.661 0.595
Se5 0.665 0.665 0.069
Se6 0.995 0.995 0.248

Output
The value obtained for the uncorrected formation energy is -1750 meV/atom. Its magnetization is 0.00 Bohr magnetons per cell. The density of states at the Fermi level comes out at 0.437 states/eV per atom.

***

# 9
A plane-wave DFT calculation with PBE was carried out for a relaxed CsRbYOs2 crystal.

Unit cell a=5.204 b=5.204 c=6.373 alpha=90.00 beta=90.00 gamma=90.00
Sites, in units of the cell vectors:
Cs1 0.000 0.000 0.000
Rb1 0.500 0.500 0.000
Y1 0.000 0.000 0.500
Os1 0.000 0.500 0.500
Os2 0.500 0.000 0.500

Output
For the formation energy, the calculation gives 1740 meV per atom. Its magnetization is 1.78 Bohr magnetons per cell. The density of states at the Fermi level comes out at 0.752 states/eV per atom.

***

# 10
A plane-wave DFT calculation with PBE was carried out for a relaxed In2OsPt crystal.

Unit cell a=9.764 b=9.764 c=9.764 alpha=155.49 beta=155.49 gamma=34.93
Sites, in units of the cell vectors:
In1 0.120 0.625 0.995
In2 0.375 0.370 0.495
In3 0.630 0.125 0.005
In4 0.875 0.880 0.505
Os1 0.000 0.000 0.000
Os2 0.750 0.250 0.500
Pt1 0.250 0.750 0.500
Pt2 0.500 0.500 0.000

Output
For the formation energy, the calculation gives 549 meV per atom. Its magnetization is 2.30 Bohr magnetons per cell. The density of states at the Fermi level comes out at 0.641 states/eV per atom.

***

# 11
A plane-wave DFT calculation with PBE was carried out for a relaxed KReTe2 crystal.

Unit cell a=6.242 b=6.242 c=6.242 alpha=138.43 beta=138.43 gamma=60.24
Sites, in units of the cell vectors:
K1 0.000 0.000 0.000
Re1 0.250 0.750 0.500
Te1 0.500 0.500 0.000
Te2 0.750 0.250 0.500

Output
The value obtained for the uncorrected formation energy is 897 meV/atom. Its magnetization is 3.46 Bohr magnetons per cell. The density of states at the Fermi level comes out at 0.714 states/eV per atom.

***

# 12
A plane-wave DFT calculation with PBE was carried out for a relaxed MgHgH2 crystal.

Unit cell a=5.898 b=5.898 c=5.898 alpha=120.06 beta=120.06 gamma=89.90
Sites, in units of the cell vectors:
Mg1 0.375 0.625 0.750
Mg2 0.625 0.375 0.250
Hg1 0.125 0.875 0.250
Hg2 0.875 0.125 0.750
H1 0.000 0.500 0.500
H2 0.500 0.000 0.000
H3 0.500 0.500 0.000
H4 0.500 0.500 0.500

Output
The calculation puts the final energy at -2.202 eV/atom. Its magnetization is 0.00 Bohr magnetons per cell. The density of states at the Fermi level comes out at 0.000 states/eV per atom.

***

# 13
A plane-wave DFT calculation with PBE was carried out for a relaxed Er3Tm3Tl crystal.

Unit cell a=9.290 b=5.469 c=9.293 alpha=90.00 beta=119.98 gamma=90.00
Sites, in units of the cell vectors:
Er1 0.063 0.250 0.241
Er2 0.178 0.250 0.937
Er3 0.241 0.750 0.178
Er4 0.759 0.250 0.822
Er5 0.822 0.750 0.063
Er6 0.937 0.750 0.759
Tm1 0.106 0.750 0.480
Tm2 0.375 0.750 0.894
Tm3 0.480 0.250 0.375
Tm4 0.520 0.750 0.625
Tm5 0.625 0.250 0.106
Tm6 0.894 0.250 0.520
Tl1 0.333 0.250 0.666
Tl2 0.667 0.750 0.334

Output
For the formation energy, the calculation gives -59 meV per atom. Its magnetization is 0.27 Bohr magnetons per cell. The density of states at the Fermi level comes out at 1.326 states/eV per atom.

***

# 14
A plane-wave DFT calculation with PBE was carried out for a relaxed SrMgScCd crystal.

Unit cell a=5.413 b=5.413 c=5.413 alpha=60.00 beta=60.00 gamma=60.00
Sites, in units of the cell vectors:
Sr1 0.000 0.000 0.000
Mg1 0.750 0.750 0.750
Sc1 0.500 0.500 0.500
Cd1 0.250 0.250 0.250

Output
For the formation energy, the calculation gives -56 meV per atom. Its magnetization is 0.00 Bohr magnetons per cell. The density of states at the Fermi level comes out at 1.082 states/eV per atom.

***

# 15
A plane-wave DFT calculation with PBE was carried out for a relaxed Li8Zn2In crystal.

Unit cell a=7.176 b=7.176 c=4.813 alpha=101.58 beta=101.58 gamma=116.26
Sites, in units of the cell vectors:
Li1 0.080 0.312 0.610
Li2 0.230 0.770 0.000
Li3 0.312 0.080 0.610
Li4 0.395 0.395 0.183
Li5 0.605 0.605 0.817
Li6 0.688 0.920 0.390
Li7 0.770 0.230 0.000
Li8 0.920 0.688 0.390
Zn1 0.316 0.684 0.500
Zn2 0.684 0.316 0.500
In1 0.000 0.000 0.000

Output
For the formation energy, the calculation gives -80 meV per atom. Its magnetization is 0.00 Bohr magnetons per cell. The density of states at the Fermi level comes out at 0.242 states/eV per atom.

***

# 16
A plane-wave DFT calculation with PBE was carried out for a relaxed ReIr4Rh crystal.

Unit cell a=5.092 b=5.092 c=5.092 alpha=60.00 beta=60.00 gamma=60.00
Sites, in units of the cell vectors:
Re1 0.000 0.000 0.000
Ir1 0.375 0.375 0.375
Ir2 0.375 0.375 0.875
Ir3 0.375 0.875 0.375
Ir4 0.875 0.375 0.375
Rh1 0.750 0.750 0.750

Output
For the formation energy, the calculation gives 532 meV per atom. Its magnetization is 0.00 Bohr magnetons per cell. The density of states at the Fermi level comes out at 1.322 states/eV per atom.

***

# 17
A plane-wave DFT calculation with PBE was carried out for a relaxed CuHgSe2 crystal.

Unit cell a=2.910 b=2.910 c=10.239 alpha=90.00 beta=90.00 gamma=94.00
Sites, in units of the cell vectors:
Cu1 0.000 0.000 0.000
Hg1 0.500 0.500 0.793
Se1 0.000 0.000 0.517
Se2 0.500 0.500 0.160

Output
The value obtained for the uncorrected formation energy is 253 meV/atom. Its magnetization is 0.00 Bohr magnetons per cell. The density of states at the Fermi level comes out at 0.520 states/eV per atom.

***

# 18
A plane-wave DFT calculation with PBE was carried out for a relaxed Mg2Tl2Zn crystal.

Unit cell a=8.443 b=8.443 c=8.443 alpha=151.65 beta=151.65 gamma=40.52
Sites, in units of the cell vectors:
Mg1 0.250 0.750 0.500
Mg2 0.750 0.250 0.500
Tl1 0.098 0.098 0.000
Tl2 0.902 0.902 0.000
Zn1 0.500 0.500 0.000

Output
For the formation energy, the calculation gives 239 meV per atom. Its magnetization is 0.00 Bohr magnetons per cell. The density of states at the Fermi level comes out at 0.542 states/eV per atom.

***

# 19
A plane-wave DFT calculation with PBE was carried out for a relaxed CeTl2PO6 crystal.

Unit cell a=5.955 b=5.955 c=5.680 alpha=90.00 beta=90.00 gamma=120.00
Sites, in units of the cell vectors:
Ce1 0.000 0.000 0.000
Tl1 0.333 0.667 0.590
Tl2 0.667 0.333 0.410
P1 0.000 0.000 0.500
O1 0.136 0.272 0.318
O2 0.136 0.864 0.318
O3 0.272 0.136 0.682
O4 0.728 0.864 0.318
O5 0.864 0.136 0.682
O6 0.864 0.728 0.682

Output
The value obtained for the uncorrected formation energy is -1694 meV/atom. Its magnetization is 0.00 Bohr magnetons per cell. The density of states at the Fermi level comes out at 0.419 states/eV per atom.

***

# 20
A plane-wave DFT calculation with PBE was carried out for a relaxed Er2ZnFe2Ni5 crystal.

Unit cell a=8.825 b=8.825 c=3.727 alpha=90.00 beta=90.00 gamma=90.00
Sites, in units of the cell vectors:
Er1 0.182 0.318 0.000
Er2 0.318 0.818 0.000
Er3 0.682 0.182 0.000
Er4 0.818 0.682 0.000
Zn1 0.000 0.000 0.000
Zn2 0.500 0.500 0.000
Fe1 0.115 0.615 0.000
Fe2 0.385 0.115 0.000
Fe3 0.615 0.885 0.000
Fe4 0.885 0.385 0.000
Ni1 0.000 0.500 0.500
Ni2 0.062 0.789 0.500
Ni3 0.211 0.062 0.500
Ni4 0.289 0.562 0.500
Ni5 0.438 0.289 0.500
Ni6 0.500 0.000 0.500
Ni7 0.562 0.711 0.500
Ni8 0.711 0.438 0.500
Ni9 0.789 0.938 0.500
Ni10 0.938 0.211 0.500

Output
For the formation energy, the calculation gives -158 meV per atom. Its magnetization is 11.79 Bohr magnetons per cell. The density of states at the Fermi level comes out at 0.891 states/eV per atom.

***

# 21
A plane-wave DFT calculation with PBE was carried out for a relaxed La2Sm2Mg15 crystal.

Unit cell a=7.993 b=7.993 c=7.993 alpha=83.37 beta=83.37 gamma=83.37
Sites, in units of the cell vectors:
La1 0.167 0.167 0.167
La2 0.833 0.833 0.833
Sm1 0.403 0.403 0.403
Sm2 0.597 0.597 0.597
Mg1 0.000 0.500 0.500
Mg2 0.145 0.145 0.658
Mg3 0.145 0.658 0.145
Mg4 0.201 0.500 0.799
Mg5 0.201 0.799 0.500
Mg6 0.342 0.855 0.855
Mg7 0.500 0.000 0.500
Mg8 0.500 0.201 0.799
Mg9 0.500 0.500 0.000
Mg10 0.500 0.799 0.201
Mg11 0.658 0.145 0.145
Mg12 0.799 0.201 0.500
Mg13 0.799 0.500 0.201
Mg14 0.855 0.342 0.855
Mg15 0.855 0.855 0.342

Output
For the formation energy, the calculation gives -25 meV per atom. Its magnetization is 0.00 Bohr magnetons per cell. The density of states at the Fermi level comes out at 0.914 states/eV per atom.

***

# 22
A plane-wave DFT calculation with PBE was carried out for a relaxed BaDyPb crystal.

Unit cell a=5.313 b=5.313 c=4.848 alpha=90.00 beta=90.00 gamma=120.00
Sites, in units of the cell vectors:
Ba1 0.000 0.000 0.000
Dy1 0.667 0.333 0.500
Pb1 0.333 0.667 0.500

Output
For the formation energy, the calculation gives -272 meV per atom. Its magnetization is 0.00 Bohr magnetons per cell. The density of states at the Fermi level comes out at 0.668 states/eV per atom.

***

# 23
A plane-wave DFT calculation with PBE was carried out for a relaxed MgBeV2Ga crystal.

Unit cell a=4.762 b=4.762 c=4.123 alpha=90.00 beta=90.00 gamma=90.00
Sites, in units of the cell vectors:
Mg1 0.000 0.000 0.000
Be1 0.500 0.500 0.000
V1 0.000 0.500 0.500
V2 0.500 0.000 0.500
Ga1 0.500 0.500 0.500

Output
For the formation energy, the calculation gives 900 meV per atom. Its magnetization is 4.63 Bohr magnetons per cell. The density of states at the Fermi level comes out at 1.459 states/eV per atom.